Here is a relaxed structure of Cd3RhO from the Alexandria database. Energies are from GGA-PBE.

Calculated values
**Polymorph energy (0 for the lowest one)**: 695 meV per atom
**E_form (uncorrected)**: 0.656 eV per atom
**Calculated volume**: 26.79 Å³/atom

Structure (extended XYZ):
```
5
Lattice="5.117 0.000 0.000 0.000 5.117 0.000 0.000 0.000 5.117" Properties=species:S:1:pos:R:3 pbc="T T T"
Cd 0.000 0.000 2.558
Cd 0.000 2.558 0.000
Cd 2.558 0.000 0.000
O 2.558 2.558 2.558
Rh 0.000 0.000 0.000
```

***

Here is a relaxed structure of Cd2Rh2O7 from the Alexandria database. Energies are from GGA-PBE.

Calculated values
**E_form (uncorrected)**: -0.769 eV per atom
**Calculated volume**: 12.15 Å³/atom

Structure (extended XYZ):
```
22
Lattice="6.262 0.000 3.616 2.087 5.904 3.616 0.000 0.000 7.231" Properties=species:S:1:pos:R:3 pbc="T T T"
Rh 1.044 0.738 5.423
O 5.424 1.186 5.068
O 1.249 2.662 2.163
Rh 2.087 3.690 3.616
O 4.175 2.952 7.231
O 2.926 4.718 9.394
Cd 5.219 3.690 9.039
O 5.424 1.186 9.394
O 2.926 0.290 5.068
Rh 1.044 0.738 1.808
Cd 4.175 0.738 7.231
O 6.262 4.428 10.847
Rh 4.175 0.738 3.616
O 1.249 2.662 5.068
O 0.410 0.290 3.616
Cd 2.087 3.690 7.231
O 2.926 0.290 2.163
Cd 5.219 3.690 5.423
O 3.765 2.662 3.616
O 1.677 1.186 7.231
O 6.673 4.718 7.231
O 2.926 4.718 5.068
```

***

Here is a relaxed structure of CdRh3O from the Alexandria database. Energies are from GGA-PBE.

Calculated values
**Polymorph energy (0 for the lowest one)**: 0 meV per atom
**E_form (uncorrected)**: 0.036 eV per atom
**Calculated volume**: 14.50 Å³/atom

Structure (extended XYZ):
```
5
Lattice="-2.521 -1.875 -2.742 2.396 -3.411 0.129 -2.300 -1.497 3.139" Properties=species:S:1:pos:R:3 pbc="T T T"
Rh 1.198 -1.705 0.065
Rh -1.150 -0.749 1.570
Cd -1.213 -3.391 0.263
Rh -1.261 -0.937 -1.371
O 0.000 0.000 0.000
```

***

Here is a relaxed structure of CdRhO2 from the Alexandria database. Energies are from GGA-PBE.

Calculated values
**E_form (uncorrected)**: -0.333 eV per atom
**Calculated volume**: 14.79 Å³/atom

Structure (extended XYZ):
```
8
Lattice="-0.170 4.273 1.278 -3.770 -0.821 2.244 1.201 0.404 6.605" Properties=species:S:1:pos:R:3 pbc="T T T"
O -0.760 1.558 6.383
Cd -0.470 3.202 4.822
Rh -2.270 0.655 5.305
O -2.086 0.329 3.275
O -0.269 2.463 2.668
Cd 0.000 0.000 0.000
O -2.365 3.364 7.926
Rh -1.970 1.726 1.761
```

***

Here is a relaxed structure of Cd3RhO6 from the Alexandria database. Energies are from GGA-PBE.

Calculated values
**E_form (uncorrected)**: -0.743 eV per atom
**Calculated volume**: 13.88 Å³/atom

Structure (extended XYZ):
```
20
Lattice="6.524 0.020 0.021 -0.121 6.522 0.021 -0.121 -0.124 6.521" Properties=species:S:1:pos:R:3 pbc="T T T"
O 1.266 3.508 2.730
Cd 2.702 6.023 4.922
O 0.277 5.992 4.676
O 6.004 0.427 1.887
Cd 5.963 4.858 2.941
O 5.015 2.911 3.833
O 4.535 0.375 6.095
O 2.801 3.720 5.161
O 5.985 4.666 0.511
O 3.480 2.699 1.402
O 2.623 1.323 3.568
Cd 1.554 3.614 0.432
Cd 0.318 1.561 3.622
Cd 4.728 2.805 6.131
Rh 3.141 3.210 3.282
O 3.658 5.096 2.995
Rh 0.000 0.000 0.000
O 1.746 6.044 0.469
Cd 3.579 0.396 1.641
O 0.296 1.753 6.053
```

***

Here is a relaxed structure of CdRh2O4 from the Alexandria database. Energies are from GGA-PBE.

Calculated values
**Polymorph energy (0 for the lowest one)**: 0 meV per atom
**E_form (uncorrected)**: -0.815 eV per atom
**Calculated volume**: 12.70 Å³/atom

Structure (extended XYZ):
```
14
Lattice="-4.443 3.858 -2.284 -4.284 2.530 3.884 0.192 6.168 1.323" Properties=species:S:1:pos:R:3 pbc="T T T"
Rh -3.192 6.583 -0.115
Cd -2.134 3.139 0.731
Rh -5.430 4.763 1.165
Cd 0.000 0.000 0.000
O -5.416 9.110 3.478
O -7.311 10.756 2.503
O -3.275 7.570 1.714
O -5.483 9.677 0.847
Rh -5.334 7.847 1.827
O -5.252 6.585 0.175
O -5.184 6.018 2.806
Rh -3.113 5.919 2.969
O -7.393 8.125 1.939
O -3.357 4.939 1.150
```